ErPu4Hg5 | Alexandria via LeMat-Bulk | GGA-PBE | optimized geometry; space group = P4/mmm (123); DFT total energy = -6.515 eV/atom; DFT formation energy = -0.17 eV/atom; magnetic moment = 0.11 μB per formula unit
1.0
3.330 0.000 0.000
0.000 3.330 0.000
0.000 0.000 22.762
Er Pu Hg
1 4 5
Direct
0.000 0.000 0.000
0.000 0.000 0.195
0.000 0.000 0.398
0.000 0.000 0.602
0.000 0.000 0.805
0.500 0.500 0.093
0.500 0.500 0.297
0.500 0.500 0.500
0.500 0.500 0.703
0.500 0.500 0.907